[1]
Compound: NaMgBe3
Source: Alexandria
Functional: GGA-PBEsol
Structure: relaxed

The structure in POSCAR format:
```
NaMgBe3
1.0
4.6138 0.0000 0.0000
0.0000 4.6138 0.0000
0.0000 0.0000 4.6138
Na Mg Be
1 1 3
Direct
0.0000 0.0000 0.0000
0.5000 0.5000 0.5000
0.0000 0.5000 0.5000
0.5000 0.0000 0.5000
0.5000 0.5000 0.0000
```

Results
Total energy, Ry/atom: -0.1293
ΔE_f, meV per atom: 1265
Magnetic moment, μB/f.u.: 0.000

---

[2]
Compound: TlTc3
Source: Alexandria
Functional: GGA-PBEsol
Structure: relaxed

The structure in POSCAR format:
```
TlTc3
1.0
-1.9160 1.9160 4.2169
1.9160 -1.9160 4.2169
1.9160 1.9160 -4.2169
Tl Tc
1 3
Direct
0.0000 0.0000 0.0000
0.2500 0.7500 0.5000
0.5000 0.5000 0.0000
0.7500 0.2500 0.5000
```

Results
Energy relative to the lowest polymorph listed for this composition, meV/atom: 151
Total energy, Ry/atom: -0.6260
ΔE_f, meV per atom: 591
Magnetic moment, μB/f.u.: 0.000

---

[3]
Compound: CdFeIr2
Source: Alexandria
Functional: GGA-PBEsol
Structure: relaxed

The structure in POSCAR format:
```
CdFeIr2
1.0
2.7217 -4.5308 0.0000
2.7217 4.5308 0.0000
-1.2794 0.0000 2.3917
Cd Fe Ir
1 1 2
Direct
0.0000 0.0000 0.0000
0.5000 0.5000 0.0000
0.0000 0.5000 0.5000
0.5000 0.0000 0.5000
```

Results
Total energy, Ry/atom: -0.5237
ΔE_f, meV per atom: 326
Magnetic moment, μB/f.u.: 3.471

---

[4]
Compound: CaScNi2
Source: Alexandria
Functional: GGA-PBEsol
Structure: relaxed

The structure in POSCAR format:
```
CaScNi2
1.0
2.1471 1.2396 4.7307
-2.1471 1.2396 4.7307
0.0000 -2.4793 4.7307
Ca Sc Ni
1 1 2
Direct
0.0000 0.0000 0.0000
0.5000 0.5000 0.5000
0.2048 0.2048 0.2048
0.7952 0.7952 0.7952
```

Results
Total energy, Ry/atom: -0.3975
ΔE_f, meV per atom: -145
Magnetic moment, μB/f.u.: 0.001

---

[5]
Compound: AlTlTe2
Source: Alexandria
Functional: GGA-PBEsol
Structure: relaxed

The structure in POSCAR format:
```
AlTlTe2
1.0
-3.9012 3.9012 4.2779
3.9012 -3.9012 4.2779
3.9012 3.9012 -4.2779
Al Tl Te
2 2 4
Direct
0.0000 0.0000 0.0000
0.7500 0.2500 0.5000
0.2500 0.7500 0.5000
0.5000 0.5000 0.0000
0.0520 0.6250 0.9270
0.3750 0.3020 0.4270
0.6980 0.1250 0.0730
0.8750 0.9480 0.5730
```

Results
Total energy, Ry/atom: -0.2769
Magnetic moment, μB/f.u.: 0.000
E_form (uncorrected), eV per atom: -0.3239

---

[6]
Compound: InOsCl2
Source: Alexandria
Functional: GGA-PBEsol
Structure: relaxed

The structure in POSCAR format:
```
InOsCl2
1.0
2.6754 -4.4619 0.0000
2.6754 4.4619 0.0000
0.0000 0.0000 3.6211
In Os Cl
1 1 2
Direct
0.0000 0.0000 0.0000
0.5000 0.5000 0.0000
0.3331 0.6669 0.5000
0.6669 0.3331 0.5000
```

Results
Energy relative to the lowest polymorph listed for this composition, meV/atom: 36
Total energy, Ry/atom: -0.3463
Magnetic moment, μB/f.u.: 0.000
E_form (uncorrected), eV per atom: 0.0921

---

[7]
Compound: Nb2Bi2PbO9
Source: Alexandria
Functional: GGA-PBEsol
Structure: relaxed

The structure in POSCAR format:
```
Nb2Bi2PbO9
1.0
-1.9653 1.9653 12.2563
1.9653 -1.9653 12.2563
1.9653 1.9653 -12.2563
Nb Bi Pb O
2 2 1 9
Direct
0.0884 0.0884 0.0000
0.9116 0.9116 0.0000
0.2993 0.2993 0.0000
0.7007 0.7007 0.0000
0.5000 0.5000 0.0000
0.0000 0.0000 0.0000
0.0802 0.5802 0.5000
0.1656 0.1656 0.0000
0.2500 0.7500 0.5000
0.4198 0.9198 0.5000
0.5802 0.0802 0.5000
0.7500 0.2500 0.5000
0.8344 0.8344 0.0000
0.9198 0.4198 0.5000
```

Results
Energy relative to the lowest polymorph listed for this composition, meV/atom: 35
Total energy, Ry/atom: -0.5674
Magnetic moment, μB/f.u.: 0.000
E_form (uncorrected), eV per atom: -1.9019

---

[8]
Compound: PNCl3
Source: Alexandria
Functional: GGA-PBEsol
Structure: relaxed

The structure in POSCAR format:
```
PNCl3
1.0
4.6980 0.0000 0.0000
0.0000 4.6980 0.0000
0.0000 0.0000 4.6980
P N Cl
1 1 3
Direct
0.0000 0.0000 0.0000
0.5000 0.5000 0.5000
0.0000 0.0000 0.5000
0.0000 0.5000 0.0000
0.5000 0.0000 0.0000
```

Results
Energy relative to the lowest polymorph listed for this composition, meV/atom: 0
Total energy, Ry/atom: -0.2427
Magnetic moment, μB/f.u.: 3.004
E_form (uncorrected), eV per atom: 0.7660

---

[9]
Compound: Be2TcAu
Source: Alexandria
Functional: GGA-PBEsol
Structure: relaxed

The structure in POSCAR format:
```
Be2TcAu
1.0
3.3218 0.0000 0.0000
0.0000 1.6099 4.2662
0.0000 -1.6099 4.2662
Be Tc Au
2 1 1
Direct
0.0000 0.0000 0.0000
0.5000 0.1595 0.1595
0.5000 0.4448 0.4448
0.0000 0.7259 0.7259
```

Results
Total energy, Ry/atom: -0.4326
ΔE_f, meV per atom: -88
Magnetic moment, μB/f.u.: 0.001

---

[10]
Compound: SrLa2Ir
Source: Alexandria
Functional: GGA-PBEsol
Structure: relaxed

The structure in POSCAR format:
```
SrLa2Ir
1.0
0.0000 3.7417 3.7417
3.7417 0.0000 3.7417
3.7417 3.7417 0.0000
Sr La Ir
1 2 1
Direct
0.0000 0.0000 0.0000
0.2500 0.2500 0.2500
0.7500 0.7500 0.7500
0.5000 0.5000 0.5000
```

Results
Energy relative to the lowest polymorph listed for this composition, meV/atom: 458
Total energy, Ry/atom: -0.4057
ΔE_f, meV per atom: 70
Magnetic moment, μB/f.u.: 0.000

---

[11]
Compound: GdInPd
Source: Alexandria
Functional: GGA-PBEsol
Structure: relaxed

The structure in POSCAR format:
```
GdInPd
1.0
7.5799 0.0000 0.0000
-3.7900 6.5644 0.0000
0.0000 0.0000 3.8728
Gd In Pd
3 3 3
Direct
0.0000 0.5905 0.0000
0.4095 0.4095 0.0000
0.5905 0.0000 0.0000
0.0000 0.2569 0.5000
0.2569 0.0000 0.5000
0.7431 0.7431 0.5000
0.0000 0.0000 0.0000
0.3333 0.6667 0.5000
0.6667 0.3333 0.5000
```

Results
Total energy, Ry/atom: -0.6343
ΔE_f, meV per atom: -834
Magnetic moment, μB/f.u.: 7.210

---

[12]
Compound: LiSm2Ir
Source: Alexandria
Functional: GGA-PBEsol
Structure: relaxed

The structure in POSCAR format:
```
LiSm2Ir
1.0
0.0000 3.4993 3.4993
3.4993 0.0000 3.4993
3.4993 3.4993 0.0000
Li Sm Ir
1 2 1
Direct
0.0000 0.0000 0.0000
0.2500 0.2500 0.2500
0.7500 0.7500 0.7500
0.5000 0.5000 0.5000
```

Results
Total energy, Ry/atom: -0.4359
ΔE_f, meV per atom: -438
Magnetic moment, μB/f.u.: 0.000